A plane-wave DFT calculation with PBE-GGA was carried out for an optimized crystal structure of Nb2P.

The energy comes out at -8.960 eV/atom. Its magnetization is 0.00 μB per atom. For the calculated volume, the calculation gives 18.49 Å³/atom.

It has space group P-31m (No. 162), with a = 6.0471 Å, b = 6.0471 Å, c = 5.2538 Å, α = 90.00°, β = 90.00° and γ = 120.00°. The distinct sites, in fractional coordinates, are Nb at (0.0000, 0.3649, 0.2104), P at (0.0000, 0.0000, 0.0000) and P at (0.3333, 0.6667, 0.5000).

A plane-wave DFT calculation with PBE-GGA was carried out for an optimized crystal structure of Er4TlC2S.

The energy comes out at -6.244 eV/atom. Its magnetization is 0.03 μB per atom. For the calculated volume, the calculation gives 20.49 Å³/atom.

It has space group P-6m2 (No. 187), with a = 3.6238 Å, b = 3.6238 Å, c = 14.4103 Å, α = 90.00°, β = 90.00° and γ = 120.00°. The distinct sites, in fractional coordinates, are Er at (0.0000, 0.0000, 0.1295), Er at (0.3333, 0.6667, 0.3130), Tl at (0.0000, 0.0000, 0.5000), C at (0.6667, 0.3333, 0.2229) and S at (0.3333, 0.6667, 0.0000).

A plane-wave DFT calculation with PBE-GGA was carried out for an optimized crystal structure of CsZnFeTe3.

The energy comes out at -3.657 eV/atom. Its magnetization is 0.50 μB per atom. For the calculated volume, the calculation gives 33.57 Å³/atom.

It has space group Pnma (No. 62), with a = 12.221 Å, b = 4.115 Å, c = 16.021 Å, α = 90.00°, β = 90.00° and γ = 90.00°. The distinct sites, in fractional coordinates, are Cs at (0.221, 0.250, 0.021), Zn at (0.217, 0.750, 0.232), Fe at (0.068, 0.750, 0.766), Te at (0.024, 0.750, 0.151), Te at (0.084, 0.250, 0.657) and Te at (0.230, 0.250, 0.334).

A plane-wave DFT calculation with PBE-GGA was carried out for an optimized crystal structure of UTlTc.

The energy comes out at -6.784 eV/atom. Its magnetization is 0.41 μB per atom. For the calculated volume, the calculation gives 25.43 Å³/atom.

It has space group F-43m (No. 216), with a = 6.733 Å, b = 6.733 Å, c = 6.733 Å, α = 90.00°, β = 90.00° and γ = 90.00°. The distinct sites, in fractional coordinates, are U at (0.000, 0.000, 0.000), Tl at (0.250, 0.250, 0.250) and Tc at (0.250, 0.250, 0.750).

A plane-wave DFT calculation with PBE-GGA was carried out for an optimized crystal structure of LiSm2Fe2N3.

The energy comes out at -7.423 eV/atom. Its magnetization is 0.25 μB per atom. For the calculated volume, the calculation gives 13.17 Å³/atom.

It has space group C2/c (No. 15), with a = 6.259 Å, b = 10.732 Å, c = 6.284 Å, α = 90.00°, β = 93.00° and γ = 90.00°. The distinct sites, in fractional coordinates, are Li at (0.000, 0.188, 0.250), Sm at (0.248, 0.071, 0.909), Fe at (0.127, 0.296, 0.607), N at (0.000, 0.430, 0.750) and N at (0.137, 0.128, 0.529).

A plane-wave DFT calculation with PBE-GGA was carried out for an optimized crystal structure of NbAgSeO.

The energy comes out at -6.156 eV/atom. Its magnetization is 0.09 μB per atom. For the calculated volume, the calculation gives 18.86 Å³/atom.

It has space group P2_1 (No. 4), with a = 5.620 Å, b = 5.192 Å, c = 10.348 Å, α = 90.00°, β = 91.52° and γ = 90.00°. The distinct sites, in fractional coordinates, are Nb at (0.001, 0.000, 0.389), Nb at (0.494, 0.490, 0.426), Ag at (0.397, 0.735, 0.003), Ag at (0.485, 0.997, 0.259), Se at (0.193, 0.648, 0.223), Se at (0.216, 0.836, 0.775), O at (0.208, 0.245, 0.506) and O at (0.232, 0.744, 0.500).

A plane-wave DFT calculation with PBE-GGA was carried out for an optimized crystal structure of CdFeNiGe.

The energy comes out at -4.688 eV/atom. Its magnetization is 0.56 μB per atom. For the calculated volume, the calculation gives 14.37 Å³/atom.

It has space group F-43m (No. 216), with a = 6.127 Å, b = 6.127 Å, c = 6.127 Å, α = 90.00°, β = 90.00° and γ = 90.00°. The distinct sites, in fractional coordinates, are Cd at (0.000, 0.000, 0.000), Fe at (0.250, 0.250, 0.750), Ni at (0.250, 0.250, 0.250) and Ge at (0.000, 0.000, 0.500).

A plane-wave DFT calculation with PBE-GGA was carried out for an optimized crystal structure of K2Dy4Ag4Se9.

The energy comes out at -4.590 eV/atom. Its magnetization is 0.00 μB per atom. For the calculated volume, the calculation gives 26.46 Å³/atom.

It has space group C2/m (No. 12), with a = 14.822 Å, b = 4.265 Å, c = 16.889 Å, α = 90.00°, β = 109.65° and γ = 90.00°. The distinct sites, in fractional coordinates, are K at (0.039, 0.000, 0.272), Dy at (0.152, 0.500, 0.558), Dy at (0.231, 0.000, 0.107), Ag at (0.074, 0.500, 0.964), Ag at (0.234, 0.000, 0.725), Se at (0.000, 0.000, 0.500), Se at (0.113, 0.500, 0.134), Se at (0.130, 0.500, 0.721), Se at (0.151, 0.000, 0.922) and Se at (0.206, 0.500, 0.405).

A plane-wave DFT calculation with PBE-GGA was carried out for an optimized crystal structure of LiZrNiSe3.

The energy comes out at -5.433 eV/atom. Its magnetization is 0.01 μB per atom. For the calculated volume, the calculation gives 19.89 Å³/atom.

It has space group Cmcm (No. 63), with a = 3.654 Å, b = 13.222 Å, c = 9.880 Å, α = 90.00°, β = 90.00° and γ = 90.00°. The distinct sites, in fractional coordinates, are Li at (0.000, 0.213, 0.250), Zr at (0.000, 0.000, 0.000), Ni at (0.000, 0.481, 0.750), Se at (0.000, 0.096, 0.750) and Se at (0.000, 0.359, 0.571).

A plane-wave DFT calculation with PBE-GGA was carried out for an optimized crystal structure of HoCo12.

The formation enthalpy at 0 K comes out at -0.06 eV per atom. The energy comes out at -6.973 eV/atom. Its magnetization is 1.41 μB per atom. For the calculated volume, the calculation gives 11.97 Å³/atom.

It has space group I4/mmm (No. 139), with a = 8.202 Å, b = 8.202 Å, c = 4.627 Å, α = 90.00°, β = 90.00° and γ = 90.00°. The distinct sites, in fractional coordinates, are Ho at (0.000, 0.000, 0.000), Co at (0.000, 0.225, 0.500), Co at (0.000, 0.358, 0.000) and Co at (0.250, 0.250, 0.250).

A plane-wave DFT calculation with PBE-GGA was carried out for an optimized crystal structure of SmBiAsO.

The energy comes out at -5.821 eV/atom. Its magnetization is 0.00 μB per atom. For the calculated volume, the calculation gives 26.18 Å³/atom.

It has space group Pmc2_1 (No. 26), with a = 4.055 Å, b = 8.475 Å, c = 6.094 Å, α = 90.00°, β = 90.00° and γ = 90.00°. The distinct sites, in fractional coordinates, are Sm at (0.000, 0.174, 0.000), Bi at (0.500, 0.403, 0.566), As at (0.000, 0.175, 0.496) and O at (0.500, 0.262, 0.940).

A plane-wave DFT calculation with PBE-GGA was carried out for an optimized crystal structure of CoHgBiAu.

The energy comes out at -3.238 eV/atom. Its magnetization is 0.28 μB per atom. For the calculated volume, the calculation gives 20.35 Å³/atom.

It has space group F-43m (No. 216), with a = 6.879 Å, b = 6.879 Å, c = 6.879 Å, α = 90.00°, β = 90.00° and γ = 90.00°. The distinct sites, in fractional coordinates, are Co at (0.000, 0.000, 0.000), Hg at (0.250, 0.250, 0.250), Bi at (0.250, 0.250, 0.750) and Au at (0.000, 0.000, 0.500).

Q: The highest magnetization belongs to which entry?
A: HoCo12

Q: Which of these has the lowest energy?
A: Nb2P